1.
An optimized crystal structure of Tm2Zn5Pt. Source: Alexandria via LeMat-Bulk, functional PBE.

Cell and atoms, written as extended XYZ:
```
16
Lattice="-2.9483 1.7702 1.9460 -2.7765 -7.9343 -1.0005 3.8191 -2.3338 7.9090" Properties=species:S:1:pos:R:3 pbc="T T T"
Zn -2.5946 -1.1545 1.1308
Zn -3.6011 -3.5649 1.7986
Zn 0.4594 -2.4088 6.8988
Zn 0.5991 -4.2630 4.7854
Zn -1.0607 -6.2742 4.1003
Zn -0.8450 -2.2237 4.7542
Zn -2.3651 -6.0891 1.9558
Zn -2.5047 -4.2349 4.0691
Zn 0.6890 -7.3434 7.7237
Zn 1.6954 -4.9329 7.0559
Tm 0.0000 0.0000 0.0000
Tm 1.9096 -1.1669 3.9545
Tm -1.3386 -5.3907 6.8871
Tm -0.5670 -3.1072 1.9674
Pt -0.9942 -8.1494 5.9068
Pt -0.9114 -0.3485 2.9477
```

## Properties
SG: Cmcm
Formation energy, meV/atom: -513

***

2.
An optimized crystal structure of CoSn3P. Source: Alexandria via LeMat-Bulk, functional PBE.

Cell and atoms, written as extended XYZ:
```
5
Lattice="5.1811 0.0000 0.0000 0.0000 5.1811 0.0000 0.0000 0.0000 5.1811" Properties=species:S:1:pos:R:3 pbc="T T T"
Co 2.5905 2.5905 2.5905
P 0.0000 0.0000 0.0000
Sn 0.0000 0.0000 2.5905
Sn 0.0000 2.5905 0.0000
Sn 2.5905 0.0000 0.0000
```

## Properties
SG: Pm-3m
Formation energy, meV/atom: 968

***

3.
An optimized crystal structure of RbTlAu. Source: Alexandria via LeMat-Bulk, functional PBE.

Cell and atoms, written as extended XYZ:
```
12
Lattice="7.6518 0.0000 0.0000 0.0000 5.9427 3.1025 0.0000 -0.4518 9.2432" Properties=species:S:1:pos:R:3 pbc="T T T"
Tl 3.0419 1.0728 9.6614
Tl 0.7840 1.2987 5.0399
Tl 4.6099 4.4182 2.6842
Tl 6.8678 4.1923 7.3058
Rb 6.7017 1.1788 1.5837
Rb 4.7759 0.9529 6.2053
Rb 2.8758 4.5381 6.1404
Rb 0.9501 4.3122 10.7620
Au 6.6338 3.5041 4.4708
Au 2.8079 2.2128 3.2533
Au 4.8439 3.2782 9.0924
Au 1.0180 1.9869 7.8749
```

## Properties
SG: P2_1/c
Formation energy, meV/atom: -205

***

4.
An optimized crystal structure of ZnGe. Source: Alexandria via LeMat-Bulk, functional PBE.

Cell and atoms, written as extended XYZ:
```
4
Lattice="-1.3690 -2.5431 1.5500 2.5602 -2.6375 -2.0662 3.6107 0.4405 3.9118" Properties=species:S:1:pos:R:3 pbc="T T T"
Ge 1.2801 -1.3188 -1.0331
Ge 1.1209 -1.0513 2.7309
Zn 3.0855 -1.0985 0.9228
Zn -0.6845 -1.2716 0.7750
```

## Properties
SG: Immm
Formation energy, meV/atom: 232

***

5.
An optimized crystal structure of TcPb2Br. Source: Alexandria via LeMat-Bulk, functional PBE.

Cell and atoms, written as extended XYZ:
```
4
Lattice="-1.1594 2.5869 -1.7680 -5.7602 -1.8939 1.0064 -0.1882 2.8668 4.3181" Properties=species:S:1:pos:R:3 pbc="T T T"
Br -2.9742 0.4865 2.6622
Pb 0.0000 0.0000 0.0000
Pb -3.4598 0.3465 -0.3808
Tc -0.6738 2.7269 1.2750
```

## Properties
SG: Pmmm
Uncorrected formation energy, meV per atom: 672

***

6.
An optimized crystal structure of PaGe2Os. Source: Alexandria via LeMat-Bulk, functional PBE.

Cell and atoms, written as extended XYZ:
```
4
Lattice="3.0211 0.0000 0.0000 1.5106 2.6164 0.0000 1.5106 0.8721 9.8135" Properties=species:S:1:pos:R:3 pbc="T T T"
Ge 1.5106 0.8721 6.8214
Ge 4.5317 2.6164 2.9921
Os 3.0211 1.7443 4.9067
Pa 0.0000 0.0000 0.0000
```

## Properties
SG: R-3m
Formation energy, meV/atom: 193

***

7.
An optimized crystal structure of Cs2SiAs. Source: Alexandria via LeMat-Bulk, functional PBE.

Cell and atoms, written as extended XYZ:
```
16
Lattice="-7.9101 -3.6629 3.4230 1.3306 -6.3481 -3.7184 5.3890 -3.5248 8.6814" Properties=species:S:1:pos:R:3 pbc="T T T"
Cs -4.7456 -8.5515 2.5927
Cs -3.2537 -4.3785 3.5184
Cs 2.0632 -9.1574 4.8676
Cs -0.7629 -7.1576 0.7098
Cs -2.0633 -10.6179 6.8128
Cs 0.8728 -2.9180 1.5732
Cs -0.4276 -6.3783 7.6762
Cs 3.5551 -4.9844 5.7934
As 2.1509 -6.3788 2.3371
As -3.3414 -7.1570 6.0489
As 0.1193 -3.8375 4.7875
As -1.3098 -9.6984 3.5985
Si 3.1796 -8.4665 1.5326
Si -4.3702 -5.0694 6.8534
Si 0.5628 -6.1961 4.2363
Si -1.7533 -7.3397 4.1498
```

## Properties
SG: P2_1/c
Uncorrected formation energy, meV per atom: -118

***

8.
An optimized crystal structure of SbIr2W. Source: Alexandria via LeMat-Bulk, functional PBE.

Cell and atoms, written as extended XYZ:
```
4
Lattice="5.6879 0.0528 -0.0075 2.9821 4.8437 0.0075 -3.7535 -3.4778 2.4840" Properties=species:S:1:pos:R:3 pbc="T T T"
W 1.8643 1.9537 1.2457
Ir 0.2530 0.1429 0.0000
Ir 2.8453 -0.6518 1.2383
Sb 4.2887 2.4222 0.0000
```

## Properties
SG: Imm2
Uncorrected formation energy, meV per atom: 305

***

9.
An optimized crystal structure of NaHf2Ta2. Source: Alexandria via LeMat-Bulk, functional PBE.

Cell and atoms, written as extended XYZ:
```
5
Lattice="4.0139 0.0000 0.0000 0.0000 4.0139 0.0000 2.0069 2.0069 7.2724" Properties=species:S:1:pos:R:3 pbc="T T T"
Ta 4.0139 2.0069 3.6362
Ta 2.0069 4.0139 3.6362
Na 0.0000 0.0000 0.0000
Hf 2.0069 2.0069 1.5601
Hf 4.0139 4.0139 5.7123
```

## Properties
SG: I4/mmm
Formation energy, meV/atom: 783

***

10.
An optimized crystal structure of Mg8Zn2Cd. Source: Alexandria via LeMat-Bulk, functional PBE.

Cell and atoms, written as extended XYZ:
```
11
Lattice="-1.0673 4.5421 -1.1551 -0.5525 -1.7333 -6.2963 -6.3438 -2.9285 4.7581" Properties=species:S:1:pos:R:3 pbc="T T T"
Mg -5.3099 -0.9088 -2.0150
Mg -4.4610 1.9680 -1.5592
Mg -6.5674 -0.1769 2.1008
Mg -2.2145 1.3171 -6.3291
Mg -2.0736 0.0339 -1.4125
Mg -4.6789 2.7005 1.4794
Mg -2.8204 -0.8660 -4.3031
Mg -6.2035 -2.9308 0.9208
Zn -2.6278 1.8875 -3.6474
Zn -4.3847 -0.0436 0.4459
Cd -6.4402 -3.6989 -1.8401
```

## Properties
SG: P1
Formation energy, meV/atom: -32

***

11.
An optimized crystal structure of AlSn3B. Source: Alexandria via LeMat-Bulk, functional PBE.

Cell and atoms, written as extended XYZ:
```
5
Lattice="-1.9821 4.5358 1.7666 1.3288 -1.3308 4.9078 4.6828 2.2975 -0.6449" Properties=species:S:1:pos:R:3 pbc="T T T"
Sn -0.9911 2.2679 0.8833
Sn 2.3414 1.1488 -0.3225
Sn 0.6644 -0.6654 2.4539
B 2.0147 2.7513 3.0147
Al 0.0000 0.0000 0.0000
```

## Properties
SG: Pm-3m
Formation energy, meV/atom: 1308

***

12.
An optimized crystal structure of La2TlZn2. Source: Alexandria via LeMat-Bulk, functional PBE.

Cell and atoms, written as extended XYZ:
```
5
Lattice="-1.1048 -2.7754 2.2401 3.0663 -1.9369 -0.8875 5.8066 1.8216 8.2325" Properties=species:S:1:pos:R:3 pbc="T T T"
Zn 2.8413 -1.6550 5.5744
Zn 4.9268 -1.2357 4.0107
Tl 0.0000 0.0000 0.0000
La 2.0605 -1.4214 2.3670
La 5.7076 -1.4693 7.2181
```

## Properties
SG: I4/mmm
Formation energy, meV/atom: -168

***

Across the entries above, magnetic moment takes the values 0.0 2.0 0.0 0.0 3.2 0.0 0.0 0.0 0.0 0.0 0.0 0.0 μB per formula unit, respectively.